Density functional theory data (PBE) for crystalline LaNd2Ho at its relaxed geometry.

Cell lengths 6.3646, 6.3646, 6.2942 Å; angles 99.60, 99.60, 33.51 degrees
Closest atoms and distances in Å follow each position.
Sites, in units of the cell vectors:
La: 0.0000 0.0000 0.0000  4 Ho 3.64, 6 Nd 3.65-3.69, 2 La 3.67
Nd: 0.2480 0.2480 0.7484  6 Nd 3.63-3.67, 3 Ho 3.65-3.68, 3 La 3.65-3.69
Nd: 0.7520 0.7520 0.2516  6 Nd 3.63-3.67, 3 Ho 3.65-3.68, 3 La 3.65-3.69
Ho: 0.5000 0.5000 0.5000  4 La 3.64, 6 Nd 3.65-3.68, 2 Ho 3.67

- density of states at the Fermi level (states/eV per cell) = 6.237
- raw total energy (eV per atom) = -4.74
- magnetic moment (μB/cell) = 0.00
- symmetry = No. 12
- formation energy (eV/atom) = 0.0199

Density functional theory data (PBE) for crystalline LaNd10Ho6 at its relaxed geometry.

Cell lengths 9.8893, 9.8893, 6.9361 Å; angles 90.00, 90.00, 120.00 degrees
Closest atoms and distances in Å follow each position.
Sites, in units of the cell vectors:
La: 0.0000 0.0000 0.0000  6 Nd 3.54, 6 Ho 3.89
Nd: 0.0000 0.2788 0.3210  5 Ho 3.43-3.65, 1 La 3.54, 4 Nd 3.71-3.80
Nd: 0.0000 0.7212 0.6790  5 Ho 3.43-3.65, 1 La 3.54, 4 Nd 3.71-3.80
Nd: 0.2788 0.0000 0.3210  5 Ho 3.43-3.65, 1 La 3.54, 4 Nd 3.71-3.80
Nd: 0.2788 0.2788 0.6790  5 Ho 3.43-3.65, 1 La 3.54, 4 Nd 3.71-3.80
Nd: 0.3333 0.6667 0.0000  6 Ho 3.39, 2 Nd 3.47
Nd: 0.3333 0.6667 0.5000  8 Nd 3.47-3.80, 6 Ho 3.80
Nd: 0.6667 0.3333 0.0000  6 Ho 3.39, 2 Nd 3.47
Nd: 0.6667 0.3333 0.5000  8 Nd 3.47-3.80, 6 Ho 3.80
Nd: 0.7212 0.0000 0.6790  5 Ho 3.43-3.65, 1 La 3.54, 4 Nd 3.71-3.80
Nd: 0.7212 0.7212 0.3210  5 Ho 3.43-3.65, 1 La 3.54, 4 Nd 3.71-3.80
Ho: 0.0000 0.3701 0.8118  7 Nd 3.39-3.65, 1 Ho 3.66
Ho: 0.0000 0.6299 0.1882  7 Nd 3.39-3.65, 1 Ho 3.66
Ho: 0.3701 0.0000 0.8118  7 Nd 3.39-3.65, 1 Ho 3.66
Ho: 0.3701 0.3701 0.1882  7 Nd 3.39-3.65, 1 Ho 3.66
Ho: 0.6299 0.0000 0.1882  7 Nd 3.39-3.65, 1 Ho 3.66
Ho: 0.6299 0.6299 0.8118  7 Nd 3.39-3.65, 1 Ho 3.66

- density of states at the Fermi level (states/eV per cell) = 26.814
- raw total energy (eV per atom) = -4.58
- magnetic moment (μB/cell) = 0.00
- symmetry = No. 162
- formation energy (eV/atom) = 0.1330

Density functional theory data (PBE) for crystalline La3Nd4Ho4 at its relaxed geometry.

Cell lengths 10.9140, 6.7479, 6.7479 Å; angles 50.91, 90.00, 90.00 degrees
Closest atoms and distances in Å follow each position.
Sites, in units of the cell vectors:
La: 0.0000 0.0000 0.0000  7 Nd 3.60-3.82, 2 La 3.69, 5 Ho 3.73-3.78
La: 0.2867 0.1609 0.1609  5 Ho 3.36-3.75, 4 Nd 3.61-3.74, 1 La 3.69
La: 0.7133 0.1609 0.1609  5 Ho 3.36-3.75, 4 Nd 3.61-3.74, 1 La 3.69
Nd: 0.0000 0.7044 0.7044  2 Ho 3.15, 2 Nd 3.47
Nd: 0.2163 0.4959 0.4959  4 Ho 3.30-3.52, 2 Nd 3.47-3.51, 2 La 3.61
Nd: 0.5000 0.6319 0.6319  3 Ho 3.32-3.44, 2 Nd 3.51
Nd: 0.7837 0.4959 0.4959  4 Ho 3.30-3.52, 2 Nd 3.47-3.51, 2 La 3.61
Ho: 0.0000 0.3061 0.3061  4 Nd 3.15-3.30
Ho: 0.3066 0.8553 0.8553  4 Nd 3.44-3.82, 2 Ho 3.59, 4 La 3.73-3.78
Ho: 0.5000 0.3592 0.3592  3 Nd 3.32-3.52, 2 La 3.36, 4 Ho 3.59
Ho: 0.6934 0.8553 0.8553  4 Nd 3.44-3.82, 2 Ho 3.59, 4 La 3.73-3.78

- density of states at the Fermi level (states/eV per cell) = 18.362
- raw total energy (eV per atom) = -4.59
- magnetic moment (μB/cell) = 0.00
- symmetry = No. 38
- formation energy (eV/atom) = 0.1490

Density functional theory data (PBE) for crystalline La7Nd2Ho2 at its relaxed geometry.

Cell lengths 7.0659, 7.0659, 8.4834 Å; angles 98.55, 98.55, 103.80 degrees
Closest atoms and distances in Å follow each position.
Sites, in units of the cell vectors:
La: 0.0000 0.0000 0.0000  2 Nd 3.60, 10 La 3.80-4.03
La: 0.0903 0.5088 0.8275  2 La 3.37-3.71, 3 Nd 3.39-3.75, 2 Ho 3.44-3.62
La: 0.1962 0.1962 0.4767  4 Ho 3.51-3.67, 3 La 3.54-3.71, 2 Nd 3.54-3.88
La: 0.4912 0.9097 0.1725  2 La 3.37-3.71, 3 Nd 3.39-3.75, 2 Ho 3.44-3.62
La: 0.5088 0.0903 0.8275  2 La 3.37-3.71, 3 Nd 3.39-3.75, 2 Ho 3.44-3.62
La: 0.8038 0.8038 0.5233  4 Ho 3.51-3.67, 3 La 3.54-3.71, 2 Nd 3.54-3.88
La: 0.9097 0.4912 0.1725  2 La 3.37-3.71, 3 Nd 3.39-3.75, 2 Ho 3.44-3.62
Nd: 0.4190 0.4190 0.1784  8 La 3.39-3.75, 2 Ho 3.54, 1 Nd 3.64
Nd: 0.5810 0.5810 0.8216  8 La 3.39-3.75, 2 Ho 3.54, 1 Nd 3.64
Ho: 0.2888 0.7112 0.5000  8 La 3.44-3.67, 2 Nd 3.54
Ho: 0.7112 0.2888 0.5000  8 La 3.44-3.67, 2 Nd 3.54

- density of states at the Fermi level (states/eV per cell) = 18.367
- raw total energy (eV per atom) = -4.72
- magnetic moment (μB/cell) = 0.00
- symmetry = No. 12
- formation energy (eV/atom) = 0.1149

Density functional theory data (PBE) for crystalline La3Nd6Ho at its relaxed geometry.

Cell lengths 10.6768, 10.6768, 6.4066 Å; angles 90.00, 90.00, 100.70 degrees
Closest atoms and distances in Å follow each position.
Sites, in units of the cell vectors:
La: 0.1356 0.8644 0.5000  8 Nd 3.50-3.89, 1 Ho 3.52
La: 0.2213 0.3650 0.1363  4 Nd 3.30-3.67, 1 Ho 3.58
La: 0.3650 0.2213 0.6363  4 Nd 3.30-3.67, 1 Ho 3.58
La: 0.6350 0.7787 0.1363  4 Nd 3.30-3.67, 1 Ho 3.58
La: 0.7787 0.6350 0.6363  4 Nd 3.30-3.67, 1 Ho 3.58
La: 0.8644 0.1356 0.0000  8 Nd 3.50-3.89, 1 Ho 3.52
Nd: 0.0596 0.1790 0.5168  3 Nd 3.25-3.44, 3 La 3.30-3.60
Nd: 0.0659 0.4852 0.6874  4 Nd 3.44-3.65, 1 Ho 3.66, 2 La 3.67-3.73
Nd: 0.1790 0.0596 0.0168  3 Nd 3.25-3.44, 3 La 3.30-3.60
Nd: 0.2420 0.7580 0.9741  1 Ho 3.28, 5 Nd 3.32-3.65, 1 La 3.50
Nd: 0.4393 0.5607 0.8608  2 Ho 3.26-3.53, 1 Nd 3.32, 2 La 3.33
Nd: 0.4852 0.0659 0.1874  4 Nd 3.44-3.65, 1 Ho 3.66, 2 La 3.67-3.73
Nd: 0.5148 0.9341 0.6874  4 Nd 3.44-3.65, 1 Ho 3.66, 2 La 3.67-3.73
Nd: 0.5607 0.4393 0.3608  2 Ho 3.26-3.53, 1 Nd 3.32, 2 La 3.33
Nd: 0.7580 0.2420 0.4741  1 Ho 3.28, 5 Nd 3.32-3.65, 1 La 3.50
Nd: 0.8210 0.9404 0.5168  3 Nd 3.25-3.44, 3 La 3.30-3.60
Nd: 0.9341 0.5148 0.1874  4 Nd 3.44-3.65, 1 Ho 3.66, 2 La 3.67-3.73
Nd: 0.9404 0.8210 0.0168  3 Nd 3.25-3.44, 3 La 3.30-3.60
Ho: 0.3469 0.6531 0.4102  3 Nd 3.26-3.53, 3 La 3.52-3.58
Ho: 0.6531 0.3469 0.9102  3 Nd 3.26-3.53, 3 La 3.52-3.58

- density of states at the Fermi level (states/eV per cell) = 28.689
- raw total energy (eV per atom) = -4.63
- magnetic moment (μB/cell) = 0.00
- symmetry = No. 36
- formation energy (eV/atom) = 0.1674

Density functional theory data (PBE) for crystalline La7Nd3Ho at its relaxed geometry.

Cell lengths 7.8801, 7.8801, 6.6068 Å; angles 93.83, 93.83, 82.45 degrees
Closest atoms and distances in Å follow each position.
Sites, in units of the cell vectors:
La: 0.0000 0.0000 0.0000  2 Ho 3.30, 2 Nd 3.42, 2 La 3.51
La: 0.0696 0.4252 0.2654  5 La 3.36-3.76, 3 Nd 3.60-3.74
La: 0.2600 0.2600 0.7851  5 La 3.36-3.69, 1 Ho 3.47, 3 Nd 3.54-3.55
La: 0.4252 0.0696 0.2654  5 La 3.36-3.76, 3 Nd 3.60-3.74
La: 0.5748 0.9304 0.7346  5 La 3.36-3.76, 3 Nd 3.60-3.74
La: 0.7400 0.7400 0.2149  5 La 3.36-3.69, 1 Ho 3.47, 3 Nd 3.54-3.55
La: 0.9304 0.5748 0.7346  5 La 3.36-3.76, 3 Nd 3.60-3.74
Nd: 0.3298 0.6702 0.0000  7 La 3.42-3.64, 3 Nd 3.54-3.75
Nd: 0.5000 0.5000 0.5000  6 La 3.55-3.74, 4 Nd 3.75
Nd: 0.6702 0.3298 0.0000  7 La 3.42-3.64, 3 Nd 3.54-3.75
Ho: 0.0000 0.0000 0.5000  4 La 3.30-3.47

- density of states at the Fermi level (states/eV per cell) = 17.682
- raw total energy (eV per atom) = -4.64
- magnetic moment (μB/cell) = 0.00
- symmetry = No. 12
- formation energy (eV/atom) = 0.2164

Density functional theory data (PBE) for crystalline La4Nd3Ho at its relaxed geometry.

Cell lengths 7.6602, 7.6602, 6.0090 Å; angles 90.00, 90.00, 125.62 degrees
Closest atoms and distances in Å follow each position.
Sites, in units of the cell vectors:
La: 0.2221 0.2221 0.5000  1 La 3.11, 2 Ho 3.38, 2 Nd 3.41
La: 0.2469 0.7531 0.0000  1 Ho 3.36, 5 Nd 3.45-3.48, 2 La 3.50
La: 0.7531 0.2469 0.0000  1 Ho 3.36, 5 Nd 3.45-3.48, 2 La 3.50
La: 0.7779 0.7779 0.5000  1 La 3.11, 2 Ho 3.38, 2 Nd 3.41
Nd: 0.0000 0.5000 0.5000  6 La 3.41-3.48, 2 Nd 3.50
Nd: 0.5000 0.0000 0.5000  6 La 3.41-3.48, 2 Nd 3.50
Nd: 0.5000 0.5000 0.0000  6 La 3.45-3.58, 2 Ho 3.50
Ho: 0.0000 0.0000 0.0000  6 La 3.36-3.38, 2 Nd 3.50

- density of states at the Fermi level (states/eV per cell) = 16.935
- raw total energy (eV per atom) = -4.49
- magnetic moment (μB/cell) = 0.00
- symmetry = No. 65
- formation energy (eV/atom) = 0.3324

Density functional theory data (PBE) for crystalline La7NdHo3 at its relaxed geometry.

Cell lengths 7.3150, 7.3150, 8.6486 Å; angles 90.00, 90.00, 120.00 degrees
Closest atoms and distances in Å follow each position.
Sites, in units of the cell vectors:
La: 0.0000 0.0000 0.0000  9 La 3.60-3.67, 3 Ho 3.69
La: 0.0049 0.5024 0.0326  2 Ho 3.47, 8 La 3.60-3.79, 1 Nd 3.62
La: 0.1692 0.3385 0.6661  2 Ho 3.47, 7 La 3.60-3.79, 2 Nd 3.67
La: 0.1692 0.8308 0.6661  2 Ho 3.47, 7 La 3.60-3.79, 2 Nd 3.67
La: 0.4976 0.5024 0.0326  2 Ho 3.47, 8 La 3.60-3.79, 1 Nd 3.62
La: 0.4976 0.9951 0.0326  2 Ho 3.47, 8 La 3.60-3.79, 1 Nd 3.62
La: 0.6615 0.8308 0.6661  2 Ho 3.47, 7 La 3.60-3.79, 2 Nd 3.67
Nd: 0.6667 0.3333 0.6948  9 La 3.62-3.67, 3 Ho 3.66
Ho: 0.3338 0.1669 0.3494  5 La 3.47-3.69, 4 Ho 3.65-3.66, 1 Nd 3.66
Ho: 0.8331 0.1669 0.3494  5 La 3.47-3.69, 4 Ho 3.65-3.66, 1 Nd 3.66
Ho: 0.8331 0.6662 0.3494  5 La 3.47-3.69, 4 Ho 3.65-3.66, 1 Nd 3.66

- density of states at the Fermi level (states/eV per cell) = 16.138
- raw total energy (eV per atom) = -4.64
- magnetic moment (μB/cell) = 0.00
- symmetry = No. 156
- formation energy (eV/atom) = 0.1750

Density functional theory data (PBE) for crystalline La9Nd2Ho at its relaxed geometry.

Cell lengths 5.2296, 5.2296, 15.6961 Å; angles 90.00, 90.00, 90.00 degrees
Closest atoms and distances in Å follow each position.
Sites, in units of the cell vectors:
La: 0.0000 0.0000 0.0000  8 La 3.68, 4 Ho 3.70
La: 0.0000 0.0000 0.3326  4 Nd 3.70, 8 La 3.71
La: 0.0000 0.0000 0.6674  4 Nd 3.70, 8 La 3.71
La: 0.0000 0.5000 0.1651  8 La 3.68-3.71, 2 Ho 3.68, 2 Nd 3.70
La: 0.0000 0.5000 0.5000  8 La 3.70-3.71, 4 Nd 3.71
La: 0.0000 0.5000 0.8349  8 La 3.68-3.71, 2 Ho 3.68, 2 Nd 3.70
La: 0.5000 0.0000 0.1651  8 La 3.68-3.71, 2 Ho 3.68, 2 Nd 3.70
La: 0.5000 0.0000 0.5000  8 La 3.70-3.71, 4 Nd 3.71
La: 0.5000 0.0000 0.8349  8 La 3.68-3.71, 2 Ho 3.68, 2 Nd 3.70
Nd: 0.5000 0.5000 0.3323  12 La 3.70-3.71
Nd: 0.5000 0.5000 0.6677  12 La 3.70-3.71
Ho: 0.5000 0.5000 0.0000  12 La 3.68-3.70

- density of states at the Fermi level (states/eV per cell) = 18.660
- raw total energy (eV per atom) = -4.87
- magnetic moment (μB/cell) = 0.00
- symmetry = No. 123
- formation energy (eV/atom) = 0.0061

Density functional theory data (PBE) for crystalline La6NdHo2 at its relaxed geometry.

Cell lengths 10.1843, 10.1843, 3.7045 Å; angles 90.00, 90.00, 124.21 degrees
Closest atoms and distances in Å follow each position.
Sites, in units of the cell vectors:
La: 0.0067 0.3385 0.0000  4 La 3.29-3.51, 2 Ho 3.63
La: 0.1744 0.1744 0.5000  7 La 3.32-3.70, 2 Nd 3.61
La: 0.3385 0.0067 0.0000  4 La 3.29-3.51, 2 Ho 3.63
La: 0.6615 0.9933 0.0000  4 La 3.29-3.51, 2 Ho 3.63
La: 0.8256 0.8256 0.5000  7 La 3.32-3.70, 2 Nd 3.61
La: 0.9933 0.6615 0.0000  4 La 3.29-3.51, 2 Ho 3.63
Nd: 0.5000 0.5000 0.0000  4 La 3.61, 4 Ho 3.68, 2 Nd 3.70
Ho: 0.3232 0.6768 0.5000  8 La 3.63-3.76, 2 Nd 3.68, 2 Ho 3.70
Ho: 0.6768 0.3232 0.5000  8 La 3.63-3.76, 2 Nd 3.68, 2 Ho 3.70

- density of states at the Fermi level (states/eV per cell) = 13.779
- raw total energy (eV per atom) = -4.72
- magnetic moment (μB/cell) = 0.00
- symmetry = No. 65
- formation energy (eV/atom) = 0.1144

Density functional theory data (PBE) for crystalline LaNd5Ho at its relaxed geometry.

Cell lengths 6.3474, 6.3532, 7.1088 Å; angles 99.62, 99.76, 111.88 degrees
Closest atoms and distances in Å follow each position.
Sites, in units of the cell vectors:
La: 0.0000 0.0000 0.0000  6 Nd 3.34-3.56, 2 Ho 3.55
Nd: 0.0937 0.5234 0.2737  1 La 3.34, 1 Ho 3.49, 5 Nd 3.51-3.63
Nd: 0.4755 0.9069 0.7267  1 La 3.34, 1 Ho 3.47, 5 Nd 3.52-3.64
Nd: 0.5000 0.5000 0.0000  8 Nd 3.51-3.87, 2 La 3.56
Nd: 0.5245 0.0931 0.2733  1 La 3.34, 1 Ho 3.47, 5 Nd 3.52-3.64
Nd: 0.9063 0.4766 0.7263  1 La 3.34, 1 Ho 3.49, 5 Nd 3.51-3.63
Ho: 0.0000 0.0000 0.5000  8 Nd 3.47-3.83, 2 La 3.55

- density of states at the Fermi level (states/eV per cell) = 9.619
- raw total energy (eV per atom) = -4.58
- magnetic moment (μB/cell) = 0.00
- symmetry = No. 2
- formation energy (eV/atom) = 0.1876

Density functional theory data (PBE) for crystalline La3Nd4Ho4 at its relaxed geometry.

Cell lengths 3.6534, 5.1643, 20.1714 Å; angles 97.34, 95.19, 90.04 degrees
Closest atoms and distances in Å follow each position.
Sites, in units of the cell vectors:
La: 0.0000 0.0000 0.0000  2 Ho 3.64, 2 La 3.65, 8 Nd 3.67
La: 0.3631 0.3632 0.7258  5 Nd 3.61-3.67, 5 Ho 3.63-3.65, 2 La 3.65
La: 0.6369 0.6368 0.2742  5 Nd 3.61-3.67, 5 Ho 3.63-3.65, 2 La 3.65
Nd: 0.1834 0.1833 0.3672  6 Ho 3.52-3.68, 2 Nd 3.65, 4 La 3.66-3.67
Nd: 0.4532 0.4536 0.9067  5 La 3.61-3.67, 4 Ho 3.63, 3 Nd 3.65-3.72
Nd: 0.5468 0.5464 0.0933  5 La 3.61-3.67, 4 Ho 3.63, 3 Nd 3.65-3.72
Nd: 0.8166 0.8167 0.6328  6 Ho 3.52-3.68, 2 Nd 3.65, 4 La 3.66-3.67
Ho: 0.0915 0.0910 0.1826  5 Nd 3.63-3.68, 5 La 3.64-3.65, 2 Ho 3.65
Ho: 0.2719 0.2720 0.5438  5 Nd 3.52-3.63, 6 Ho 3.61-3.65, 1 La 3.63
Ho: 0.7281 0.7280 0.4562  5 Nd 3.52-3.63, 6 Ho 3.61-3.65, 1 La 3.63
Ho: 0.9085 0.9090 0.8174  5 Nd 3.63-3.68, 5 La 3.64-3.65, 2 Ho 3.65

- density of states at the Fermi level (states/eV per cell) = 16.203
- raw total energy (eV per atom) = -4.72
- magnetic moment (μB/cell) = 0.00
- symmetry = No. 2
- formation energy (eV/atom) = 0.0212